First-principles (PBE) data for an optimized crystal structure of Zr2H2S, as listed in the Alexandria database. Values from VASP.

## Properties
polymorph energy (0 for the lowest one): 0 meV per atom

Geometry as Quantum ESPRESSO input:
```
&SYSTEM
  ibrav = 0, nat = 5, ntyp = 3
/
ATOMIC_SPECIES
Zr 91.22 Zr.upf
H 1.01 H.upf
S 32.06 S.upf
CELL_PARAMETERS angstrom
-1.6137 1.6137 5.9189
1.6137 -1.6137 5.9189
1.6137 1.6137 -5.9189
ATOMIC_POSITIONS crystal
Zr 0.1361 0.1361 0.0000
Zr 0.8639 0.8639 0.0000
H 0.2500 0.7500 0.5000
H 0.7500 0.2500 0.5000
S 0.5000 0.5000 0.0000
```